# NaVBrF2, optimized geometry, DFT PBE+U
data_NaVBrF2
_space_group_name_H-M_alt 'P 1'
_space_group_IT_number 1
_space_group_name_Hall 'P 1'
_cell_length_a 4.1786
_cell_length_b 4.1786
_cell_length_c 5.4473
_cell_angle_alpha 90.00
_cell_angle_beta 90.00
_cell_angle_gamma 90.00
loop_
_atom_site_label
_atom_site_type_symbol
_atom_site_fract_x
_atom_site_fract_y
_atom_site_fract_z
Na1 Na 0.0000 0.0000 0.0000
V1 V 0.5000 0.5000 0.5000
Br1 Br 0.5000 0.5000 0.0000
F1 F 0.0000 0.5000 0.5000
F2 F 0.5000 0.0000 0.5000
# Final energy   -0.18085 hartree per atom
# V   95.1 Å³/cell
# Size of the total moment   0.60 μB per atom